Record 1
! HgCl2 GGA-PBE relaxed; values from VASP
! Formation energy from raw total energies = -474.7 meV per atom
! Space group = No. 69
! Crystal system = orthorhombic
&SYSTEM
  ibrav = 0, nat = 3, ntyp = 2
/
ATOMIC_SPECIES
Hg 200.59 Hg.upf
Cl 35.45 Cl.upf
CELL_PARAMETERS angstrom
0.0000 3.9270 6.9129
1.9058 0.0000 6.9129
1.9058 3.9270 0.0000
ATOMIC_POSITIONS crystal
Hg 0.5000 0.5000 0.5000
Cl 0.1263 0.1263 0.8737
Cl 0.8737 0.8737 0.1263

Record 2
! Hg3Cl GGA-PBE relaxed; values from VASP
! Polymorph energy (0 for the lowest one) = 37 meV per atom
! Formation energy from raw total energies = -177.0 meV per atom
! Space group = No. 44
! Crystal system = orthorhombic
&SYSTEM
  ibrav = 0, nat = 4, ntyp = 2
/
ATOMIC_SPECIES
Cl 35.45 Cl.upf
Hg 200.59 Hg.upf
CELL_PARAMETERS angstrom
4.0950 0.0000 0.0000
0.0000 6.3543 0.0000
-2.0475 -3.1772 4.3530
ATOMIC_POSITIONS crystal
Cl 0.0000 0.9161 0.0000
Hg 0.7545 0.1709 0.5089
Hg 0.2455 0.6620 0.4911
Hg 0.5000 0.4177 0.0000

Record 3
! HgCl5 GGA-PBE relaxed; values from VASP
! Polymorph energy (0 for the lowest one) = 143 meV per atom
! Formation energy from raw total energies = -18.2 meV per atom
! Space group = No. 38
! Crystal system = orthorhombic
&SYSTEM
  ibrav = 0, nat = 6, ntyp = 2
/
ATOMIC_SPECIES
Cl 35.45 Cl.upf
Hg 200.59 Hg.upf
CELL_PARAMETERS angstrom
-1.4639 6.0326 0.2010
-1.2817 -5.4432 -2.7027
-5.3734 -1.4888 5.5465
ATOMIC_POSITIONS crystal
Cl 0.7604 0.2396 0.5000
Cl 0.3293 0.6707 0.0000
Cl 0.6631 0.3369 0.0000
Cl 0.4707 0.5293 0.5000
Cl 0.9944 0.0056 0.0000
Hg 0.1154 0.8846 0.5000

Record 4
! Hg2Cl GGA-PBE relaxed; values from VASP
! Polymorph energy (0 for the lowest one) = 138 meV per atom
! Formation energy from raw total energies = -190.1 meV per atom
! Space group = No. 194
! Crystal system = hexagonal
&SYSTEM
  ibrav = 0, nat = 12, ntyp = 2
/
ATOMIC_SPECIES
Hg 200.59 Hg.upf
Cl 35.45 Cl.upf
CELL_PARAMETERS angstrom
7.7986 0.0000 0.0000
-3.8993 6.7538 0.0000
0.0000 0.0000 7.3609
ATOMIC_POSITIONS crystal
Hg 0.1696 0.3391 0.7500
Hg 0.0000 0.0000 0.5000
Hg 0.6609 0.8304 0.7500
Hg 0.8304 0.1696 0.2500
Hg 0.3391 0.1696 0.2500
Hg 0.0000 0.0000 0.0000
Hg 0.8304 0.6609 0.2500
Hg 0.1696 0.8304 0.7500
Cl 0.3333 0.6667 0.9911
Cl 0.6667 0.3333 0.0089
Cl 0.3333 0.6667 0.5089
Cl 0.6667 0.3333 0.4911

Record 5
! HgCl GGA-PBE relaxed; values from VASP
! Polymorph energy (0 for the lowest one) = 207 meV per atom
! Formation energy from raw total energies = -334.7 meV per atom
! Space group = No. 8
! Crystal system = monoclinic
&SYSTEM
  ibrav = 0, nat = 6, ntyp = 2
/
ATOMIC_SPECIES
Hg 200.59 Hg.upf
Cl 35.45 Cl.upf
CELL_PARAMETERS angstrom
3.5279 -5.2960 2.1216
5.9959 -2.3117 1.9234
1.1668 -0.4341 7.9934
ATOMIC_POSITIONS crystal
Hg 0.9497 0.9497 0.4534
Hg 0.0019 0.0019 0.0358
Hg 0.2680 0.2680 0.5015
Cl 0.3603 0.3603 0.0507
Cl 0.5980 0.5980 0.5084
Cl 0.6555 0.6555 0.9502

Record 6
! HgCl GGA-PBE relaxed; values from VASP
! Polymorph energy (0 for the lowest one) = 502 meV per atom
! Formation energy from raw total energies = -39.6 meV per atom
! Space group = No. 194
! Crystal system = hexagonal
&SYSTEM
  ibrav = 0, nat = 8, ntyp = 2
/
ATOMIC_SPECIES
Hg 200.59 Hg.upf
Cl 35.45 Cl.upf
CELL_PARAMETERS angstrom
-1.8715 4.3818 0.7874
1.0009 -1.4243 -4.5047
-10.5062 -4.3129 -0.9707
ATOMIC_POSITIONS crystal
Hg 0.0000 0.0000 0.2500
Hg 0.3333 0.6667 0.7500
Hg 0.6667 0.3333 0.2500
Hg 0.0000 0.0000 0.7500
Cl 0.6667 0.3333 0.6062
Cl 0.3333 0.6667 0.1062
Cl 0.6667 0.3333 0.8938
Cl 0.3333 0.6667 0.3938

Record 7
! Hg2Cl5 GGA-PBE relaxed; values from VASP
! Formation energy from raw total energies = -489.7 meV per atom
! Space group = No. 15
! Crystal system = monoclinic
&SYSTEM
  ibrav = 0, nat = 14, ntyp = 2
/
ATOMIC_SPECIES
Cl 35.45 Cl.upf
Hg 200.59 Hg.upf
CELL_PARAMETERS angstrom
12.1501 0.0000 0.0000
0.0000 4.3036 0.4570
-6.0751 -0.6546 9.5381
ATOMIC_POSITIONS crystal
Cl 0.5257 0.7500 0.0000
Cl 0.8341 0.3095 0.4032
Cl 0.0463 0.9811 0.8231
Cl 0.1659 0.6905 0.5968
Cl 0.4743 0.2500 0.0000
Cl 0.2232 0.5189 0.1769
Cl 0.5691 0.8095 0.4032
Cl 0.4309 0.1905 0.5968
Cl 0.9537 0.0189 0.1769
Cl 0.7768 0.4811 0.8231
Hg 0.9051 0.6556 0.2960
Hg 0.3909 0.1556 0.2960
Hg 0.0949 0.3444 0.7040
Hg 0.6091 0.8444 0.7040

Record 8
! HgCl GGA-PBE relaxed; values from VASP
! Polymorph energy (0 for the lowest one) = 393 meV per atom
! Formation energy from raw total energies = -149.4 meV per atom
! Space group = No. 186
! Crystal system = hexagonal
&SYSTEM
  ibrav = 0, nat = 4, ntyp = 2
/
ATOMIC_SPECIES
Cl 35.45 Cl.upf
Hg 200.59 Hg.upf
CELL_PARAMETERS angstrom
4.6616 0.0000 0.0000
-2.3308 4.0371 0.0000
0.0000 0.0000 7.7300
ATOMIC_POSITIONS crystal
Cl 0.3333 0.6667 0.9992
Cl 0.6667 0.3333 0.4992
Hg 0.6667 0.3333 0.8718
Hg 0.3333 0.6667 0.3718

Record 9
! Hg4Cl5 GGA-PBE relaxed; values from VASP
! Formation energy from raw total energies = -235.5 meV per atom
! Space group = No. 193
! Crystal system = hexagonal
&SYSTEM
  ibrav = 0, nat = 18, ntyp = 2
/
ATOMIC_SPECIES
Cl 35.45 Cl.upf
Hg 200.59 Hg.upf
CELL_PARAMETERS angstrom
-2.8288 4.8243 6.4498
-5.0917 -1.6462 -6.6514
-2.5116 -6.0426 3.4182
ATOMIC_POSITIONS crystal
Cl 0.0000 0.2356 0.7500
Cl 0.3333 0.6667 0.5000
Cl 0.3333 0.6667 0.0000
Cl 0.7644 0.0000 0.2500
Cl 0.2356 0.2356 0.2500
Cl 0.2356 0.0000 0.7500
Cl 0.6667 0.3333 0.5000
Cl 0.6667 0.3333 0.0000
Cl 0.7644 0.7644 0.7500
Cl 0.0000 0.7644 0.2500
Hg 0.5751 0.5751 0.2500
Hg 0.4249 0.4249 0.7500
Hg 0.0000 0.4249 0.2500
Hg 0.5751 0.0000 0.7500
Hg 0.4249 0.0000 0.2500
Hg 0.0000 0.0000 0.5000
Hg 0.0000 0.5751 0.7500
Hg 0.0000 0.0000 0.0000

Record 10
! HgCl2 GGA-PBE relaxed; values from VASP
! Formation energy from raw total energies = -550.3 meV per atom
! Space group = No. 62
! Crystal system = orthorhombic
&SYSTEM
  ibrav = 0, nat = 12, ntyp = 2
/
ATOMIC_SPECIES
Cl 35.45 Cl.upf
Hg 200.59 Hg.upf
CELL_PARAMETERS angstrom
-2.8175 -2.5923 -0.6059
2.7189 -5.4442 10.6487
-4.7570 4.3648 3.4461
ATOMIC_POSITIONS crystal
Cl 0.7500 0.7610 0.5362
Cl 0.2500 0.7390 0.0362
Cl 0.7500 0.0121 0.2216
Cl 0.2500 0.4879 0.7216
Cl 0.2500 0.9879 0.7784
Cl 0.2500 0.2390 0.4638
Cl 0.7500 0.5121 0.2784
Cl 0.7500 0.2610 0.9638
Hg 0.2500 0.1365 0.0859
Hg 0.7500 0.3635 0.5859
Hg 0.2500 0.6365 0.4141
Hg 0.7500 0.8635 0.9141

Record 11
! HgCl GGA-PBE relaxed; values from VASP
! Polymorph energy (0 for the lowest one) = 333 meV per atom
! Formation energy from raw total energies = -208.7 meV per atom
! Space group = No. 166
! Crystal system = trigonal
&SYSTEM
  ibrav = 0, nat = 2, ntyp = 2
/
ATOMIC_SPECIES
Hg 200.59 Hg.upf
Cl 35.45 Cl.upf
CELL_PARAMETERS angstrom
4.2610 -0.0535 -0.0374
2.1944 3.6529 -0.0374
2.1944 1.2235 3.4421
ATOMIC_POSITIONS crystal
Hg 0.5000 0.5000 0.5000
Cl 0.0000 0.0000 0.0000

Record 12
! Hg3Cl GGA-PBE relaxed; values from VASP
! Polymorph energy (0 for the lowest one) = 0 meV per atom
! Formation energy from raw total energies = -214.2 meV per atom
! Space group = No. 166
! Crystal system = trigonal
&SYSTEM
  ibrav = 0, nat = 4, ntyp = 2
/
ATOMIC_SPECIES
Cl 35.45 Cl.upf
Hg 200.59 Hg.upf
CELL_PARAMETERS angstrom
-0.8832 2.3712 -7.3672
1.1378 -1.3169 -7.5927
-3.0398 -1.2337 -7.0651
ATOMIC_POSITIONS crystal
Cl 0.0000 0.0000 0.0000
Hg 0.2483 0.2483 0.2483
Hg 0.7517 0.7517 0.7517
Hg 0.5000 0.5000 0.5000